Compound: CrCoPbI2
Source: Alexandria via LeMat-Bulk
Functional: PBE
Structure: relaxed

Unit cell a=5.5063 b=4.6273 c=5.5063 alpha=90.00 beta=90.00 gamma=90.00
Closest atoms and distances in Å follow each position.
Sites, in units of the cell vectors:
Pb1 0.5000 0.5000 0.5000  8 I 3.60, 4 Co 3.89
I1 0.0000 0.0000 0.5000  2 Cr 2.75
I2 0.5000 0.0000 0.0000  2 Cr 2.75
Co1 0.0000 0.5000 0.0000  2 Cr 2.31
Cr1 0.0000 0.0000 0.0000  2 Co 2.31

electronic total energy	-4.026	eV per atom
magnetization	0.510	μB/atom
ΔE_f (raw)	682	meV per atom
symmetry	P4/mmm (123)

***

Compound: Rb2CrCoI6
Source: Alexandria via LeMat-Bulk
Functional: PBE
Structure: relaxed

Unit cell a=7.9961 b=7.9961 c=7.9924 alpha=59.98 beta=59.98 gamma=90.00
Closest atoms and distances in Å follow each position.
Sites, in units of the cell vectors:
I1 0.2482 0.2482 0.5035  1 Co 2.80, 1 Cr 2.84
I2 0.7518 0.7518 0.4965  1 Co 2.80, 1 Cr 2.84
I3 0.2487 0.2487 0.0000  1 Co 2.81, 1 Cr 2.84
I4 0.7513 0.7513 0.0000  1 Co 2.81, 1 Cr 2.84
I5 0.7513 0.2487 0.0000  1 Co 2.81, 1 Cr 2.84
I6 0.2487 0.7513 0.0000  1 Co 2.81, 1 Cr 2.84
Cr1 0.5000 0.5000 0.0000  6 I 2.84
Co1 0.0000 0.0000 0.0000  6 I 2.80-2.81
Rb1 0.7500 0.2500 0.5000  12 I 4.00
Rb2 0.2500 0.7500 0.5000  12 I 4.00

electronic total energy	-3.413	eV per atom
magnetization	0.582	μB/atom
ΔE_f (raw)	-616	meV per atom
symmetry	I4/mmm (139)

***

Compound: CrCo2RuI
Source: Alexandria via LeMat-Bulk
Functional: PBE
Structure: relaxed

Unit cell a=4.6897 b=4.4492 c=4.6897 alpha=90.00 beta=90.00 gamma=90.00
Closest atoms and distances in Å follow each position.
Sites, in units of the cell vectors:
I1 0.5000 0.5000 0.5000  8 Co 3.23, 4 Cr 3.32
Ru1 0.0000 0.0000 0.0000  2 Cr 2.22, 4 Co 2.34
Co1 0.0000 0.0000 0.5000  2 Ru 2.34
Co2 0.5000 0.0000 0.0000  2 Ru 2.34
Cr1 0.0000 0.5000 0.0000  2 Ru 2.22

electronic total energy	-5.468	eV per atom
magnetization	0.924	μB/atom
ΔE_f (raw)	1464	meV per atom
symmetry	P4/mmm (123)

***

Compound: CrCo2SI
Source: Alexandria via LeMat-Bulk
Functional: PBE
Structure: relaxed

Unit cell a=4.2682 b=4.9216 c=4.2682 alpha=90.00 beta=90.00 gamma=90.00
Closest atoms and distances in Å follow each position.
Sites, in units of the cell vectors:
I1 0.5000 0.5000 0.5000  4 Cr 3.02, 8 Co 3.26
Cr1 0.0000 0.5000 0.0000  2 S 2.46
S1 0.0000 0.0000 0.0000  4 Co 2.13
Co1 0.0000 0.0000 0.5000  2 S 2.13
Co2 0.5000 0.0000 0.0000  2 S 2.13

electronic total energy	-5.459	eV per atom
magnetization	1.440	μB/atom
ΔE_f (raw)	443	meV per atom
symmetry	P4/mmm (123)

***

Compound: CrCoS2I
Source: Alexandria via LeMat-Bulk
Functional: PBE
Structure: relaxed

Unit cell a=4.3859 b=6.1455 c=4.3859 alpha=90.00 beta=90.00 gamma=90.00
Closest atoms and distances in Å follow each position.
Sites, in units of the cell vectors:
I1 0.0000 0.5000 0.0000  2 Cr 3.07, 4 Co 3.10
Cr1 0.0000 0.0000 0.0000  4 S 2.19
S1 0.0000 0.0000 0.5000  2 Cr 2.19
S2 0.5000 0.0000 0.0000  2 Cr 2.19
Co1 0.5000 0.5000 0.5000  4 I 3.10

electronic total energy	-4.786	eV per atom
magnetization	0.900	μB/atom
ΔE_f (raw)	521	meV per atom
symmetry	P4/mmm (123)

***

Compound: CrCoSbI2
Source: Alexandria via LeMat-Bulk
Functional: PBE
Structure: relaxed

Unit cell a=5.4590 b=5.4590 c=5.2757 alpha=90.00 beta=90.00 gamma=90.00
Closest atoms and distances in Å follow each position.
Sites, in units of the cell vectors:
I1 0.0000 0.5000 0.0000  2 Cr 2.73
I2 0.5000 0.0000 0.0000  2 Cr 2.73
Sb1 0.0000 0.0000 0.5000  2 Cr 2.64
Co1 0.5000 0.5000 0.5000  8 I 3.80, 4 Sb 3.86
Cr1 0.0000 0.0000 0.0000  2 Sb 2.64, 4 I 2.73

electronic total energy	-3.861	eV per atom
polymorph energy (0 for the lowest one)	0.0000	eV/atom
magnetization	1.131	μB/atom
ΔE_f (raw)	929	meV per atom
symmetry	P4/mmm (123)

***

Compound: CrCoTeI2
Source: Alexandria via LeMat-Bulk
Functional: PBE
Structure: relaxed

Unit cell a=5.4527 b=5.4527 c=5.3991 alpha=90.00 beta=90.00 gamma=90.00
Closest atoms and distances in Å follow each position.
Sites, in units of the cell vectors:
I1 0.0000 0.5000 0.0000  2 Cr 2.73
I2 0.5000 0.0000 0.0000  2 Cr 2.73
Cr1 0.0000 0.0000 0.0000  2 Te 2.70, 4 I 2.73
Te1 0.0000 0.0000 0.5000  2 Cr 2.70
Co1 0.5000 0.5000 0.5000  8 I 3.84, 4 Te 3.86

electronic total energy	-3.796	eV per atom
polymorph energy (0 for the lowest one)	0.0000	eV/atom
magnetization	1.197	μB/atom
ΔE_f (raw)	799	meV per atom
symmetry	P4/mmm (123)

***

Compound: CrCoTe2I
Source: Alexandria via LeMat-Bulk
Functional: PBE
Structure: relaxed

Unit cell a=5.1971 b=5.5937 c=5.1971 alpha=90.00 beta=90.00 gamma=90.00
Closest atoms and distances in Å follow each position.
Sites, in units of the cell vectors:
I1 0.0000 0.5000 0.0000  2 Cr 2.80
Cr1 0.0000 0.0000 0.0000  4 Te 2.60, 2 I 2.80
Te1 0.0000 0.0000 0.5000  2 Cr 2.60
Te2 0.5000 0.0000 0.0000  2 Cr 2.60
Co1 0.5000 0.5000 0.5000  4 I 3.67, 8 Te 3.82

electronic total energy	-4.055	eV per atom
polymorph energy (0 for the lowest one)	0.0000	eV/atom
magnetization	1.037	μB/atom
ΔE_f (raw)	858	meV per atom
symmetry	P4/mmm (123)